# 1
A relaxed LiGaI crystal. Source: Alexandria, functional PBE-GGA.

Properties
energy relative to the elements, uncorrected	-571	meV per atom

a = 3.9630 Å, b = 3.9630 Å, c = 12.0122 Å
α = 90.00°, β = 90.00°, γ = 90.00°
Last column: nearest neighbours and their distance in Å.
Space group P4/nmm (No. 129, origin choice 2)
Symmetry-distinct sites (fractional):
1 Li 0.2500 0.2500 0.0942 [2 per cell]  5 I 2.85-2.86
2 Ga 0.2500 0.2500 0.5010 [2 per cell]  4 Ga 2.80
3 I 0.2500 0.2500 0.8573 [2 per cell]  5 Li 2.85-2.86


# 2
A relaxed CaMg2Pb crystal. Source: Alexandria, functional PBE-GGA.

Properties
E above lowest polymorph	59	meV per atom
DFT formation energy	-17.5	kJ/mol of atoms

a = 3.6509 Å, b = 4.8299 Å, c = 6.5048 Å
α = 90.00°, β = 105.06°, γ = 90.00°
Last column: nearest neighbours and their distance in Å.
Space group Pm (No. 6)
Symmetry-distinct sites (fractional):
1 Ca 0.0000 0.0000 0.0000 [1 per cell]  3 Mg 3.23-3.57, 4 Pb 3.28-3.29
2 Mg 0.2709 0.0000 0.5132 [1 per cell]  2 Pb 3.00, 4 Mg 3.21-3.26, 1 Ca 3.23
3 Mg 0.6753 0.5000 0.3318 [1 per cell]  4 Mg 3.21-3.26, 3 Pb 3.36-3.47
4 Pb 0.4052 0.5000 0.7969 [1 per cell]  3 Mg 3.00-3.36, 4 Ca 3.28-3.29


# 3
A relaxed SrTa2Cd crystal. Source: Alexandria, functional PBE-GGA.

Properties
DFT formation energy	109.6	kJ/mol of atoms

a = 4.9041 Å, b = 4.9041 Å, c = 20.9406 Å
α = 90.00°, β = 90.00°, γ = 90.00°
Last column: nearest neighbours and their distance in Å.
Space group I4_1/amd (No. 141, origin choice 2)
Symmetry-distinct sites (fractional):
1 Sr 0.0000 0.2500 0.3750 [4 per cell]  4 Cd 3.47, 8 Ta 3.79
2 Ta 0.0000 0.0000 0.0000 [8 per cell]  2 Ta 2.45
3 Cd 0.0000 0.2500 0.8750 [4 per cell]  4 Ta 2.89


# 4
A relaxed MnCo2As crystal. Source: Alexandria, functional PBE-GGA.

Properties
DFT formation energy	12.3	kJ/mol of atoms

a = 5.0348 Å, b = 8.2306 Å, c = 2.7099 Å
α = 90.00°, β = 117.74°, γ = 90.00°
Last column: nearest neighbours and their distance in Å.
Space group C2/m (No. 12)
Symmetry-distinct sites (fractional):
1 Mn 0.0000 0.0000 0.0000 [2 per cell]  4 Co 2.46, 4 As 2.52-2.71, 2 Mn 2.71
2 Co 0.2500 0.2500 0.5000 [4 per cell]  2 As 2.46, 2 Mn 2.46, 6 Co 2.52-2.71
3 As 0.0000 0.5000 0.0000 [2 per cell]  4 Co 2.46, 4 Mn 2.52-2.71, 2 As 2.71


# 5
A relaxed BaZrHg2 crystal. Source: Alexandria, functional PBE-GGA.

Properties
DFT formation energy	7.1	kJ/mol of atoms

a = 3.5989 Å, b = 5.5182 Å, c = 11.3290 Å
α = 90.00°, β = 90.00°, γ = 90.00°
Last column: nearest neighbours and their distance in Å.
Space group Imm2 (No. 44)
Symmetry-distinct sites (fractional):
1 Ba 0.0000 0.0000 0.0000 [2 per cell]  6 Hg 3.29-3.56, 2 Ba 3.60, 2 Zr 3.63
2 Zr 0.0000 0.5000 0.2218 [2 per cell]  6 Hg 3.07-3.34
3 Hg 0.0000 0.0000 0.5020 [2 per cell]  2 Zr 3.07, 2 Hg 3.17, 4 Ba 3.29
4 Hg 0.0000 0.5000 0.7715 [2 per cell]  2 Hg 3.17, 4 Zr 3.34


# 6
A relaxed Ti2NbGa crystal. Source: Alexandria, functional PBE-GGA.

Properties
DFT formation energy	-6.8	kJ/mol of atoms

a = 2.9453 Å, b = 2.9453 Å, c = 27.7711 Å
α = 90.00°, β = 90.00°, γ = 120.00°
Last column: nearest neighbours and their distance in Å.
Space group R3m (No. 160, hexagonal axes)
Symmetry-distinct sites (fractional):
1 Ti 0.0000 0.0000 0.0000 [3 per cell]  3 Ga 2.82, 3 Nb 2.92, 6 Ti 2.95
2 Ti 0.0000 0.0000 0.1716 [3 per cell]  3 Ga 2.82, 3 Nb 2.93, 6 Ti 2.95
3 Nb 0.0000 0.0000 0.4189 [3 per cell]  6 Ti 2.92-2.93, 6 Nb 2.95
4 Ga 0.0000 0.0000 0.5858 [3 per cell]  6 Ti 2.82, 6 Ga 2.95


# 7
A relaxed DyZnNiPt crystal. Source: Alexandria, functional PBE-GGA.

Properties
DFT formation energy	-57.1	kJ/mol of atoms

a = 6.4918 Å, b = 6.4918 Å, c = 6.4918 Å
α = 90.00°, β = 90.00°, γ = 90.00°
Last column: nearest neighbours and their distance in Å.
Space group F-43m (No. 216)
Symmetry-distinct sites (fractional):
1 Dy 0.0000 0.0000 0.0000 [4 per cell]  4 Ni 2.81, 4 Pt 2.81
2 Zn 0.0000 0.0000 0.5000 [4 per cell]  4 Ni 2.81, 4 Pt 2.81
3 Ni 0.2500 0.2500 0.7500 [4 per cell]  4 Dy 2.81, 4 Zn 2.81
4 Pt 0.2500 0.2500 0.2500 [4 per cell]  4 Dy 2.81, 4 Zn 2.81


# 8
A relaxed TiV2InN crystal. Source: Alexandria, functional PBE-GGA.

Properties
energy relative to the elements, uncorrected	-567	meV per atom

a = 3.9857 Å, b = 3.9857 Å, c = 4.3198 Å
α = 90.00°, β = 90.00°, γ = 90.00°
Last column: nearest neighbours and their distance in Å.
Space group P4/mmm (No. 123)
Symmetry-distinct sites (fractional):
1 Ti 0.0000 0.0000 0.0000 [1 per cell]  2 N 2.16
2 V 0.0000 0.5000 0.5000 [2 per cell]  2 N 1.99
3 In 0.5000 0.5000 0.0000 [1 per cell]  4 Ti 2.82, 8 V 2.94
4 N 0.0000 0.0000 0.5000 [1 per cell]  4 V 1.99, 2 Ti 2.16


# 9
A relaxed Tb2Ho3Er5 crystal. Source: Alexandria, functional PBE-GGA.

Properties
E above lowest polymorph	155	meV per atom
DFT formation energy	34.6	kJ/mol of atoms

a = 12.6637 Å, b = 16.7791 Å, c = 6.2038 Å
α = 90.00°, β = 90.00°, γ = 90.00°
Last column: nearest neighbours and their distance in Å.
Space group Ibam (No. 72)
Symmetry-distinct sites (fractional):
1 Tb 0.1008 0.1567 0.0000 [8 per cell]  1 Er 3.14, 3 Ho 3.31-3.42
2 Ho 0.0000 0.0000 0.2500 [4 per cell]  2 Ho 3.10, 2 Er 3.18, 4 Tb 3.31
3 Ho 0.1592 0.2496 0.5000 [8 per cell]  4 Tb 3.42-3.64, 4 Er 3.44-3.63
4 Er 0.0000 0.5000 0.2500 [4 per cell]  8 Er 3.10-3.29
5 Er 0.0986 0.3436 0.0000 [8 per cell]  1 Tb 3.14, 2 Er 3.29, 1 Ho 3.44
6 Er 0.2489 0.5000 0.2500 [8 per cell]  3 Er 3.10-3.15, 1 Ho 3.18


# 10
A relaxed Cs2SnBr2F2 crystal. Source: Alexandria, functional PBE-GGA.

Properties
energy relative to the elements, uncorrected	-1966	meV per atom

a = 4.9670 Å, b = 4.9670 Å, c = 18.2554 Å
α = 90.00°, β = 90.00°, γ = 90.00°
Last column: nearest neighbours and their distance in Å.
Space group I4/mmm (No. 139)
Symmetry-distinct sites (fractional):
1 Cs 0.0000 0.0000 0.1271 [4 per cell]  4 F 3.40, 5 Br 3.58-3.78
2 Sn 0.0000 0.0000 0.5000 [2 per cell]  4 F 2.48
3 Br 0.0000 0.0000 0.3341 [4 per cell]  1 Sn 3.03
4 F 0.0000 0.5000 0.0000 [4 per cell]  2 Sn 2.48


# 11
A relaxed Ho2AlRh crystal. Source: Alexandria, functional PBE-GGA.

Properties
E above lowest polymorph	0	meV per atom
DFT formation energy	-63.4	kJ/mol of atoms

a = 3.5273 Å, b = 3.5273 Å, c = 6.9094 Å
α = 90.00°, β = 90.00°, γ = 90.00°
Last column: nearest neighbours and their distance in Å.
Space group P4/mmm (No. 123)
Symmetry-distinct sites (fractional):
1 Ho 0.0000 0.0000 0.2329 [2 per cell]  4 Rh 2.97, 4 Al 3.10, 1 Ho 3.22
2 Al 0.5000 0.5000 0.5000 [1 per cell]  8 Ho 3.10, 2 Rh 3.45
3 Rh 0.5000 0.5000 0.0000 [1 per cell]  8 Ho 2.97


# 12
A relaxed BaNi2W crystal. Source: Alexandria, functional PBE-GGA.

Properties
E above lowest polymorph	364	meV per atom
DFT formation energy	60.6	kJ/mol of atoms

a = 3.1772 Å, b = 3.1772 Å, c = 7.5298 Å
α = 90.00°, β = 90.00°, γ = 90.00°
Last column: nearest neighbours and their distance in Å.
Space group P4mm (No. 99)
Symmetry-distinct sites (fractional):
1 Ba 0.0000 0.0000 0.0000 [1 per cell]  4 Ba 3.18, 4 Ni 3.29, 4 W 3.55
2 Ni 0.0000 0.0000 0.4800 [1 per cell]  4 W 2.53, 4 Ni 2.55
3 Ni 0.5000 0.5000 0.3193 [1 per cell]  1 W 2.38, 4 Ni 2.55
4 W 0.5000 0.5000 0.6347 [1 per cell]  5 Ni 2.38-2.53


# 13
A relaxed Nb2RuRh crystal. Source: Alexandria, functional PBE-GGA.

Properties
DFT formation energy	20.2	kJ/mol of atoms

a = 7.0551 Å, b = 7.0551 Å, c = 5.5754 Å
α = 90.00°, β = 90.00°, γ = 90.00°
Last column: nearest neighbours and their distance in Å.
Space group I-42d (No. 122)
Symmetry-distinct sites (fractional):
1 Nb 0.2463 0.2500 0.1250 [8 per cell]  2 Ru 2.57, 2 Rh 2.61, 2 Nb 2.79
2 Ru 0.0000 0.0000 0.0000 [4 per cell]  4 Nb 2.57, 2 Rh 2.79
3 Rh 0.0000 0.0000 0.5000 [4 per cell]  4 Nb 2.61, 2 Ru 2.79


# 14
A relaxed SrHo5In3 crystal. Source: Alexandria, functional PBE-GGA.

Properties
DFT formation energy	-30.1	kJ/mol of atoms

a = 9.3911 Å, b = 9.3911 Å, c = 6.8422 Å
α = 90.00°, β = 90.00°, γ = 120.00°
Last column: nearest neighbours and their distance in Å.
Space group P6_3/mcm (No. 193)
Symmetry-distinct sites (fractional):
1 Sr 0.0000 0.0000 0.0000 [2 per cell]  2 Sr 3.42, 6 In 3.59, 6 Ho 3.61
2 Ho 0.0000 0.3383 0.2500 [6 per cell]  5 In 3.06-3.42
3 Ho 0.3333 0.6667 0.0000 [4 per cell]  8 Ho 3.42-3.55, 6 In 3.56
4 In 0.0000 0.3356 0.7500 [6 per cell]  5 Ho 3.06-3.42


# 15
A relaxed CuPdCl4 crystal. Source: Alexandria, functional PBE-GGA.

Properties
energy relative to the elements, uncorrected	-475	meV per atom

a = 12.1394 Å, b = 7.8109 Å, c = 7.8433 Å
α = 90.00°, β = 98.23°, γ = 90.00°
Last column: nearest neighbours and their distance in Å.
Space group C2/c (No. 15)
Symmetry-distinct sites (fractional):
1 Cu 0.2500 0.2500 0.0000 [4 per cell]  4 Cl 2.27-2.28
2 Pd 0.0000 0.2480 0.7500 [4 per cell]  4 Cl 2.32
3 Cl 0.0685 0.2483 0.0416 [8 per cell]  1 Cu 2.27, 1 Pd 2.32
4 Cl 0.1863 0.2479 0.7125 [8 per cell]  1 Cu 2.28, 1 Pd 2.32


# 16
A relaxed Li4GaPd crystal. Source: Alexandria, functional PBE-GGA.

Properties
E above lowest polymorph	0	meV per atom
DFT formation energy	-34.5	kJ/mol of atoms

a = 5.1901 Å, b = 15.2156 Å, c = 4.4203 Å
α = 90.00°, β = 90.08°, γ = 90.00°
Last column: nearest neighbours and their distance in Å.
Space group C2/c (No. 15)
Symmetry-distinct sites (fractional):
1 Li 0.2437 0.0413 0.2479 [8 per cell]  5 Li 2.53-2.66, 1 Pd 2.82
2 Li 0.2483 0.2084 0.2501 [8 per cell]  5 Li 2.54-2.61, 1 Ga 2.85
3 Ga 0.0000 0.3753 0.2500 [4 per cell]  2 Pd 2.60, 12 Li 2.85-2.88
4 Pd 0.0000 0.1247 0.7500 [4 per cell]  2 Ga 2.60, 12 Li 2.82-2.86


# 17
A relaxed TaAlReIr crystal. Source: Alexandria, functional PBE-GGA.

Properties
DFT formation energy	-54.8	kJ/mol of atoms

a = 6.2549 Å, b = 6.2549 Å, c = 6.2549 Å
α = 90.00°, β = 90.00°, γ = 90.00°
Last column: nearest neighbours and their distance in Å.
Space group F-43m (No. 216)
Symmetry-distinct sites (fractional):
1 Ta 0.0000 0.0000 0.0000 [4 per cell]  4 Re 2.71, 4 Ir 2.71
2 Al 0.0000 0.0000 0.5000 [4 per cell]  4 Re 2.71, 4 Ir 2.71
3 Re 0.2500 0.2500 0.2500 [4 per cell]  4 Al 2.71, 4 Ta 2.71
4 Ir 0.2500 0.2500 0.7500 [4 per cell]  4 Ta 2.71, 4 Al 2.71


# 18
A relaxed Nd3Er2PuSe6 crystal. Source: Alexandria, functional PBE-GGA.

Properties
energy relative to the elements, uncorrected	-1761	meV per atom

a = 18.1663 Å, b = 4.1092 Å, c = 8.3808 Å
α = 90.00°, β = 104.10°, γ = 90.00°
Last column: nearest neighbours and their distance in Å.
Space group C2/m (No. 12)
Symmetry-distinct sites (fractional):
1 Nd 0.0000 0.0000 0.0000 [2 per cell]  6 Se 2.97-3.03
2 Nd 0.1643 0.5000 0.3346 [4 per cell]  6 Se 2.97-3.03
3 Er 0.1638 0.5000 0.8282 [4 per cell]  6 Se 2.82-2.90
4 Pu 0.0000 0.0000 0.5000 [2 per cell]  6 Se 2.90-2.93
5 Se 0.0040 0.5000 0.7468 [4 per cell]  1 Er 2.82, 2 Pu 2.90, 3 Nd 2.97
6 Se 0.1663 0.0000 0.5947 [4 per cell]  2 Er 2.85, 1 Pu 2.93, 3 Nd 2.99
7 Se 0.1717 0.0000 0.0734 [4 per cell]  3 Er 2.88-2.90, 3 Nd 3.03


# 19
A relaxed Fe2AgIr crystal. Source: Alexandria, functional PBE-GGA.

Properties
DFT formation energy	24.5	kJ/mol of atoms

a = 2.7477 Å, b = 3.6519 Å, c = 5.6830 Å
α = 90.00°, β = 90.00°, γ = 90.00°
Last column: nearest neighbours and their distance in Å.
Space group Pmm2 (No. 25)
Symmetry-distinct sites (fractional):
1 Fe 0.0000 0.0000 0.0000 [1 per cell]  1 Ir 2.50, 6 Fe 2.64-2.75, 4 Ag 2.73
2 Fe 0.5000 0.5000 0.2332 [1 per cell]  4 Ir 2.57, 6 Fe 2.64-2.75, 2 Ag 2.82-2.87
3 Ag 0.5000 0.5000 0.7379 [1 per cell]  6 Fe 2.73-2.87, 2 Ag 2.75, 4 Ir 2.84
4 Ir 0.0000 0.0000 0.4406 [1 per cell]  5 Fe 2.50-2.57, 2 Ir 2.75


# 20
A relaxed ZnO crystal. Source: Alexandria, functional PBE-GGA.

Properties
energy relative to the elements, uncorrected	-717	meV per atom

a = 2.6911 Å, b = 2.6911 Å, c = 2.6911 Å
α = 90.00°, β = 90.00°, γ = 90.00°
Last column: nearest neighbours and their distance in Å.
Space group Pm-3m (No. 221)
Symmetry-distinct sites (fractional):
1 Zn 0.0000 0.0000 0.0000 [1 per cell]  8 O 2.33
2 O 0.5000 0.5000 0.5000 [1 per cell]  8 Zn 2.33